Below is a crystal of ScIn relaxed with PBEsol, with properties calculated at the SCAN level.

- Calculated volume: 22.8 Å³/atom
- Total magnetization: 0.00 Bohr magnetons per cell
- Raw total energy: -1.7713 Ry/atom
- N(E_F): 1.176 states/eV per atom
- Energy of formation from the pure elements: -6.65 kcal/mol of atoms

```
data_ScIn
_symmetry_space_group_name_H-M 'P 4/n m m'
_symmetry_Int_Tables_number 129
_cell_length_a 3.822
_cell_length_b 3.822
_cell_length_c 6.237
_cell_angle_alpha 90.00
_cell_angle_beta 90.00
_cell_angle_gamma 90.00
loop_
_symmetry_equiv_pos_as_xyz
'x,y,z'
'-x,-y,-z'
'-y+1/2,x,z'
'y+1/2,-x,-z'
'-x+1/2,-y+1/2,z'
'x+1/2,y+1/2,-z'
'y,-x+1/2,z'
'-y,x+1/2,-z'
'x+1/2,-y,-z'
'-x+1/2,y,z'
'-y,-x,-z'
'y,x,z'
'-x,y+1/2,-z'
'x,-y+1/2,z'
'y+1/2,x+1/2,-z'
'-y+1/2,-x+1/2,z'
loop_
_atom_site_label
_atom_site_fract_x
_atom_site_fract_y
_atom_site_fract_z
Sc1 0.250 0.250 0.129
In1 0.250 0.250 0.633
```